No. 1
# Ga3Fe13

Ga3Fe13 after structural relaxation (PBE-GGA, the Alexandria database).

For the calculated volume, the calculation gives 12.0 A^3/atom. As for the formation energy: -0.07 eV per atom. Its size of the total moment is 60.15 μB per cell.

The space group is Amm2 (No. 38) and the conventional cell measures 8.167, 5.711 and 8.238 Å, with angles of 90.00, 90.00 and 90.00 degrees. Symmetry generates all atoms from Ga at (0.000, 0.000, 0.000), Ga at (0.255, 0.000, 0.290), Fe at (0.000, 0.000, 0.513), Fe at (0.000, 0.249, 0.254), Fe at (0.248, 0.000, 0.785), Fe at (0.253, 0.248, 0.538), Fe at (0.500, 0.000, 0.044), Fe at (0.500, 0.000, 0.532) and Fe at (0.500, 0.235, 0.788).

=====

No. 2
# GaFe4

GaFe4 after structural relaxation (PBE-GGA, the Alexandria database).

The energy relative to the lowest polymorph listed for this composition is 430.4 meV/atom. For the calculated volume, the calculation gives 12.4 A^3/atom. As for the formation energy: 0.39 eV per atom. Its size of the total moment is 3.70 μB per cell.

The space group is C2/m (No. 12) and the conventional cell measures 4.858, 4.861 and 5.782 Å, with angles of 90.00, 114.64 and 90.00 degrees. Symmetry generates all atoms from Ga at (0.000, 0.000, 0.000), Fe at (0.000, 0.250, 0.500) and Fe at (0.100, 0.500, 0.200).

=====

No. 3
# GaFe

GaFe after structural relaxation (PBE-GGA, the Alexandria database).

For the calculated volume, the calculation gives 25.6 A^3/atom. As for the formation energy: 1.05 eV per atom. Its size of the total moment is 14.08 μB per cell.

The space group is Pm-3n (No. 223) and the conventional cell measures 6.751, 6.751 and 6.751 Å, with angles of 90.00, 90.00 and 90.00 degrees. Symmetry generates all atoms from Ga at (0.000, 0.250, 0.500) and Fe at (0.000, 0.500, 0.250).

=====

- Look up the calculated volume of the first one.
  12.0 A^3/atom